Computed, not measured: a geometry-optimized HoPuN structure at the PBE level of DFT.

The structure belongs to space group Pnma (No. 62); the cell edges are 5.744, 3.287 and 12.139 Å and the angles 90.00°, 90.00° and 90.00°. Symmetry generates all atoms from Ho at (0.162, 0.250, 0.203), Pu at (0.125, 0.250, 0.469) and N at (0.046, 0.250, 0.675).

The volume comes out at 229.2 Å³ per cell. The uncorrected formation energy comes out at -383 meV per atom. For the total magnetization, the calculation gives 1.2 μB per formula unit. As for the distance to the lowest polymorph of the same formula: 0.4631 eV per atom.



Computed, not measured: a geometry-optimized Ho3PuN4 structure at the PBE level of DFT.

The structure belongs to space group Cmmm (No. 65); the cell edges are 6.902, 9.744 and 3.462 Å and the angles 90.00°, 90.00° and 90.00°. Symmetry generates all atoms from Ho at (0.000, 0.000, 0.000), Ho at (0.250, 0.250, 0.500), Pu at (0.000, 0.500, 0.000), N at (0.000, 0.253, 0.000) and N at (0.246, 0.500, 0.500).

The volume comes out at 232.8 Å³ per cell. The uncorrected formation energy comes out at -1609 meV per atom. For the total magnetization, the calculation gives 4.7 μB per formula unit.